{
  "formula": "Os2Se3S",
  "functional": "PBE",
  "state": "relaxed",
  "lattice": [[5.668, 0.000, 0.000], [0.000, 3.540, 0.000], [-2.692, 0.000, 10.725]],
  "species": ["Os", "Os", "Se", "Se", "Se", "S"],
  "fractional_positions": [[0.000, 0.000, 0.000], [0.387, 0.500, 0.999], [0.219, 0.000, 0.833], [0.714, 0.500, 0.873], [0.836, 0.500, 0.126], [0.383, 0.000, 0.137]],
  "m_tot_mub_per_cell": 0.00,
  "e_tot_ev_per_fu": -37.1
}